CaLaNF2 | PBE-GGA | optimized geometry

energy relative to the lowest polymorph listed for this composition = 0.0 meV/atom
final energy = -6.11 eV per atom
energy relative to the elements, uncorrected = -2314 meV/atom
calculated volume = 16.984 Å³/atom
crystal system = tetragonal

abc: 4.1297 4.1297 4.9794
angles: 90.00 90.00 90.00
Fractional coordinates of all 5 atoms:
La: 0.5000 0.5000 0.5000
Ca: 0.0000 0.0000 0.0000
F: 0.0000 0.5000 0.0000
F: 0.5000 0.0000 0.0000
N: 0.0000 0.0000 0.5000